# CrCu2Os

CrCu2Os at its PBEsol-relaxed geometry (SCAN, the Alexandria database). Values from VASP.

**E_tot**: -30.01 eV/atom
**ρ**: 12.47 g cm⁻³
**Space-group type**: Pmm2

Cell and atoms, written as Quantum ESPRESSO input:
```
&SYSTEM
  ibrav = 0, nat = 4, ntyp = 3
/
ATOMIC_SPECIES
Cu 63.55 Cu.upf
Os 190.23 Os.upf
Cr 52.00 Cr.upf
ATOMIC_POSITIONS angstrom
Cu 0.0000 0.0000 0.0714
Os 0.0000 0.0000 2.6858
Cr 1.3455 1.7555 3.8350
Cu 1.3455 1.7555 1.2129
CELL_PARAMETERS angstrom
2.6911 0.0000 0.0000
0.0000 3.5109 0.0000
0.0000 0.0000 5.2033
```